18
Lattice="6.6373 0.0000 0.0000 0.0000 9.1509 0.0000 0.0000 -4.5754 7.9251" Properties=species:S:1:pos:R:3 comment="LaCe5Al3, optimized geometry, DFT PBE-GGA" magmom_total_mub_per_fu=5.42 formation_energy_mev_per_atom=-156 rho_g_cm3=6.350 pbc="T T T"
Ce 0.0000 0.0000 5.2807
Ce 1.6593 1.5541 2.6910
Ce 4.9780 3.1082 0.0000
Ce 1.6593 -3.0214 5.2341
Ce 3.3187 4.5754 2.6444
Ce 0.0000 4.5754 2.6444
Ce 3.3187 0.0000 5.2807
Ce 4.9780 3.0214 5.2341
Ce 4.9780 7.5968 2.6910
Ce 1.6593 6.0426 0.0000
Al 4.9780 6.1092 0.0000
Al 4.9780 -3.0544 5.2913
Al 1.6593 3.0544 5.2913
Al 4.9780 1.5211 2.6338
Al 1.6593 3.0417 0.0000
Al 1.6593 7.6298 2.6338
La 0.0000 0.0000 0.0000
La 3.3187 0.0000 0.0000


16
Lattice="9.4429 -0.0128 -1.7014 -0.0194 9.4429 -1.7014 -6.0144 -6.0186 8.3476" Properties=species:S:1:pos:R:3 comment="Pm2NdSm4Ho, optimized geometry, DFT PBE-GGA" magmom_total_mub_per_fu=0.01 formation_energy_mev_per_atom=392 rho_g_cm3=7.241 pbc="T T T"
Pm 4.7215 -0.0064 -0.8507
Pm -3.0072 -3.0093 4.1738
Pm 4.7118 4.7150 -1.7014
Pm 1.7143 -3.0157 3.3231
Ho 1.7045 1.7058 2.4724
Ho 3.4285 -6.0313 6.6462
Nd -0.0097 4.7214 -0.8507
Nd 6.4260 1.6994 1.6217
Sm 4.1249 4.1346 1.7709
Sm 1.1100 -3.7022 6.6371
Sm 2.2993 7.1137 -1.6922
Sm -0.7158 -0.7230 3.1739
Sm 4.0353 -0.6112 2.4633
Sm 0.9820 0.9895 5.6464
Sm 2.4271 2.4221 -0.7015
Sm -0.6262 4.0227 2.4816


6
Lattice="-0.4258 -4.4537 1.3921 3.8263 -2.5427 0.9211 1.0202 -1.1814 4.4179" Properties=species:S:1:pos:R:3 comment="Mn4BeNb, optimized geometry, DFT PBE-GGA" magmom_total_mub_per_fu=2.04 formation_energy_mev_per_atom=16 rho_g_cm3=7.343 polymorph_energy_ev_per_atom=0.000 pbc="T T T"
Mn 2.9828 -2.8734 3.5122
Mn 0.8376 -3.8375 3.7498
Mn 2.7680 -5.1203 4.2145
Mn 2.2532 -4.5243 1.9857
Be 0.0000 0.0000 0.0000
Nb 1.1052 -2.0444 1.6828


8
Lattice="4.5705 0.0000 0.0000 0.0000 4.5705 0.0000 2.2853 2.2853 5.1583" Properties=species:S:1:pos:R:3 comment="ZrCdH2, optimized geometry, DFT PBE-GGA" magmom_total_mub_per_fu=0.00 rho_g_cm3=6.338 polymorph_energy_ev_per_atom=0.000 pbc="T T T"
H 3.4279 3.7239 3.8687
H 1.4386 3.4279 1.2896
H 5.7131 5.4171 3.8687
H 3.1319 1.1426 1.2896
Zr 2.2853 4.5705 2.5792
Zr 2.2853 2.2853 0.0000
Cd 4.5705 2.2853 2.5792
Cd 0.0000 0.0000 0.0000


10
Lattice="-5.2203 -0.2056 -1.3186 1.4651 0.1596 -5.8253 -0.4522 -6.5184 2.8068" Properties=species:S:1:pos:R:3 comment="PmAlAg3, optimized geometry, DFT PBE-GGA" magmom_total_mub_per_fu=0.00 formation_energy_mev_per_atom=-228 rho_g_cm3=7.887 polymorph_energy_ev_per_atom=0.014 pbc="T T T"
Ag -0.8665 -1.8198 -1.7901
Ag -0.3939 -4.0743 -3.3097
Ag -3.3409 -4.7447 -2.5469
Ag -0.1211 -1.7386 -4.7538
Ag -3.8135 -2.4902 -1.0273
Ag -4.0863 -4.8259 0.4168
Al -2.6101 -0.1028 -0.6593
Al 0.0000 0.0000 0.0000
Pm -1.0862 -5.0785 -0.4123
Pm -3.1212 -1.4860 -3.9248


4
Lattice="3.1170 0.0072 0.0000 -0.0070 3.1170 0.0000 0.0000 0.0000 7.1870" Properties=species:S:1:pos:R:3 comment="SrCrCo2, optimized geometry, DFT PBE-GGA" magmom_total_mub_per_fu=5.91 formation_energy_mev_per_atom=644 rho_g_cm3=6.123 polymorph_energy_ev_per_atom=0.324 pbc="T T T"
Cr 0.0000 0.0000 2.9801
Sr 1.5550 1.5621 5.5371
Co 0.0000 0.0000 0.5857
Co 1.5550 1.5621 1.6776


16
Lattice="4.2771 0.0000 0.0000 -2.1385 3.7040 0.0000 0.0000 0.0000 30.2215" Properties=species:S:1:pos:R:3 comment="Y3ThTe4, optimized geometry, DFT PBE-GGA" magmom_total_mub_per_fu=0.00 rho_g_cm3=7.000 polymorph_energy_ev_per_atom=0.000 pbc="T T T"
Te 0.0000 0.0000 20.6340
Te 0.0000 2.4694 1.8411
Te 2.1385 1.2347 28.3804
Te 2.1385 1.2347 16.9519
Te 0.0000 2.4694 13.2696
Te 0.0000 0.0000 24.6983
Te 0.0000 0.0000 9.5876
Te 0.0000 0.0000 5.5232
Y 2.1385 1.2347 3.6870
Y 0.0000 0.0000 0.0000
Y 2.1385 1.2347 11.4238
Y 0.0000 2.4694 18.7977
Y 0.0000 0.0000 15.1108
Y 0.0000 2.4694 26.5346
Th 2.1385 1.2347 22.6661
Th 0.0000 2.4694 7.5554


11
Lattice="-1.4213 -4.6180 -1.0087 6.1386 -1.0747 -3.7294 1.9385 0.2615 8.1483" Properties=species:S:1:pos:R:3 comment="PmEr2Hg8, optimized geometry, DFT PBE-GGA" magmom_total_mub_per_fu=0.00 formation_energy_mev_per_atom=-313 rho_g_cm3=12.738 polymorph_energy_ev_per_atom=0.000 pbc="T T T"
Hg 4.2794 -2.2214 4.1400
Hg 5.1022 -4.6139 1.8572
Hg 2.0949 -4.5110 5.6237
Hg 2.3764 -3.2099 -0.7299
Hg 5.2900 -4.0110 -1.1674
Hg 1.3658 -1.4202 4.5776
Hg 4.5608 -0.9202 -2.2135
Hg 1.5535 -0.8173 1.5530
Er 4.5483 -1.5897 0.8691
Er 2.1075 -3.8415 2.5411
Pm -0.7107 -2.3090 -0.5043